Zn4CdHg | SCAN | single point on PBEsol structure

**Calculated formation energy**: 0.09 eV per atom
**Spin magnetization**: 0.00 Bohr magnetons per cell

Structure (CIF):
```
data_Zn4CdHg
_chemical_formula_sum 'Zn4 Cd1 Hg1'
_cell_length_a 5.2014
_cell_length_b 5.2014
_cell_length_c 5.2014
_cell_angle_alpha 60.00
_cell_angle_beta 60.00
_cell_angle_gamma 60.00
_space_group_name_H-M_alt 'P 1'
_space_group_IT_number 1
_space_group_name_Hall 'P 1'
loop_
_atom_site_label
_atom_site_fract_x
_atom_site_fract_y
_atom_site_fract_z
_atom_site_occupancy
Zn1 0.3754 0.3754 0.3754 1
Zn2 0.3754 0.3754 0.8740 1
Zn3 0.8740 0.3754 0.3754 1
Zn4 0.3754 0.8740 0.3754 1
Hg1 0.0000 0.0000 0.0000 1
Cd1 0.7500 0.7500 0.7500 1
```

ZnCdHg2 | SCAN | single point on PBEsol structure

**Excess energy over the best structure of this formula in the dataset**: 0 meV/atom
**Calculated formation energy**: 0.05 eV per atom
**Spin magnetization**: 0.00 Bohr magnetons per cell

Structure (CIF):
```
data_ZnCdHg2
_chemical_formula_sum 'Zn1 Cd1 Hg2'
_cell_length_a 2.8997
_cell_length_b 4.6497
_cell_length_c 6.7639
_cell_angle_alpha 110.10
_cell_angle_beta 102.38
_cell_angle_gamma 90.00
_space_group_name_H-M_alt 'P 1'
_space_group_IT_number 1
_space_group_name_Hall 'P 1'
loop_
_atom_site_label
_atom_site_fract_x
_atom_site_fract_y
_atom_site_fract_z
_atom_site_occupancy
Zn1 0.5016 0.5016 0.0032 1
Hg1 0.9989 0.9989 0.9978 1
Hg2 0.7976 0.2976 0.5951 1
Cd1 0.2020 0.7020 0.4039 1
```

Zr2ZnCdHg | SCAN | single point on PBEsol structure

**Calculated formation energy**: 0.77 eV per atom
**Spin magnetization**: 0.00 Bohr magnetons per cell

Structure (CIF):
```
data_Zr2ZnCdHg
_chemical_formula_sum 'Zr2 Zn1 Cd1 Hg1'
_cell_length_a 4.6165
_cell_length_b 5.2074
_cell_length_c 5.2074
_cell_angle_alpha 90.00
_cell_angle_beta 90.00
_cell_angle_gamma 90.00
_space_group_name_H-M_alt 'P 1'
_space_group_IT_number 1
_space_group_name_Hall 'P 1'
loop_
_atom_site_label
_atom_site_fract_x
_atom_site_fract_y
_atom_site_fract_z
_atom_site_occupancy
Zn1 0.5000 0.0000 0.0000 1
Hg1 0.5000 0.5000 0.5000 1
Zr1 0.0000 0.0000 0.5000 1
Zr2 0.0000 0.5000 0.0000 1
Cd1 0.0000 0.0000 0.0000 1
```